# ZrSb2Pb, optimized geometry, DFT GGA-PBE
data_ZrSb2Pb
_chemical_formula_sum 'Zr1 Sb2 Pb1'
_cell_length_a 4.261
_cell_length_b 4.261
_cell_length_c 6.203
_cell_angle_alpha 90.00
_cell_angle_beta 90.00
_cell_angle_gamma 90.00
_symmetry_space_group_name_H-M 'P 4 m m'
_symmetry_Int_Tables_number 99
loop_
_symmetry_equiv_pos_as_xyz
'x,y,z'
'-y,x,z'
'-x,-y,z'
'y,-x,z'
'-x,y,z'
'y,x,z'
'x,-y,z'
'-y,-x,z'
loop_
_atom_site_label
_atom_site_type_symbol
_atom_site_fract_x
_atom_site_fract_y
_atom_site_fract_z
Zr1 Zr 0.000 0.000 0.000
Sb1 Sb 0.000 0.000 0.497
Sb2 Sb 0.500 0.500 0.911
Pb1 Pb 0.500 0.500 0.384
# Formation energy from raw total energies (meV per atom): -149
# Density of states at the Fermi level (states/eV/cell): 2.3
# Calculated volume (Å³ per atom): 28.155